Material: Zr5ZnPd
Method: DFT, PBE
State: optimized geometry

a b c (Å): 10.5784 10.3953 5.5266
angles (deg): 90.00 105.90 90.00
With the nearest neighbours (Å) after each atom.
Space group C2/c (No. 15)
Unique sites:
Zr (0.0000, 0.2209, 0.2500) x4  3 Zn 2.93-3.22, 4 Zr 3.13-3.19, 2 Pd 3.21
Zr (0.1449, 0.2999, 0.8030) x8  2 Pd 2.84-2.96, 6 Zr 2.85-3.14, 1 Zn 2.89
Zr (0.2402, 0.0622, 0.5962) x8  2 Zn 2.89-3.02, 6 Zr 2.97-3.19, 2 Pd 3.01-3.10
Zn (0.0000, 0.0612, 0.7500) x4  9 Zr 2.89-3.22, 2 Zn 3.04
Pd (0.0000, 0.5000, 0.0000) x4  2 Pd 2.76, 6 Zr 2.84-3.01

Size of the total moment = 0.0 μB per formula unit
DFT total energy = -200.482 eV/cell

---

Material: Zr3Zn4Pd4
Method: DFT, PBE
State: optimized geometry

a b c (Å): 2.9091 4.4518 14.5172
angles (deg): 98.77 95.70 90.00
With the nearest neighbours (Å) after each atom.
Space group P-1 (No. 2)
Unique sites:
Zr (0.0000, 0.0000, 0.0000) x1  2 Zr 2.91, 8 Pd 3.00, 4 Zn 3.03
Zr (0.1398, 0.6397, 0.2795) x2  2 Zr 2.91, 6 Pd 2.95-2.98, 6 Zn 2.97-3.11
Zn (0.2631, 0.2639, 0.5278) x2  4 Pd 2.67-2.69, 6 Zn 2.77-2.91
Zn (0.4075, 0.9071, 0.8140) x2  3 Pd 2.56-2.61
Pd (0.3160, 0.8155, 0.6309) x2  5 Zn 2.61-2.69, 2 Pd 2.91
Pd (0.4513, 0.4514, 0.9030) x2  2 Zn 2.56, 1 Pd 2.77

Size of the total moment = 0.0 μB per formula unit
DFT total energy = -57.073 eV/cell

---

Material: ZrZnPd2
Method: DFT, PBE
State: optimized geometry

a b c (Å): 3.3046 3.3046 6.1624
angles (deg): 90.00 90.00 90.00
With the nearest neighbours (Å) after each atom.
Space group P4/mmm (No. 123)
Unique sites:
Zr (0.0000, 0.0000, 0.0000) x1  8 Pd 2.86, 2 Zn 3.08
Zn (0.0000, 0.0000, 0.5000) x1  8 Pd 2.74
Pd (0.5000, 0.5000, 0.2690) x2  4 Zn 2.74, 1 Pd 2.85, 4 Zr 2.86

Size of the total moment = 0.0 μB per formula unit
DFT total energy = -22.547 eV/cell

---

Material: ZrZnPd2
Method: DFT, PBE
State: optimized geometry

a b c (Å): 7.1450 7.1450 5.6656
angles (deg): 90.00 90.00 90.00
With the nearest neighbours (Å) after each atom.
Space group I-42d (No. 122)
Unique sites:
Zr (0.0000, 0.0000, 0.0000) x4  4 Pd 2.72, 2 Zn 2.83
Zn (0.0000, 0.0000, 0.5000) x4  4 Pd 2.54, 2 Zr 2.83
Pd (0.2315, 0.2500, 0.6250) x8  2 Zn 2.54, 2 Zr 2.72

Size of the total moment = 0.0 μB per formula unit
DFT total energy = -84.736 eV/cell

---

Material: Zr5Zn4Pd
Method: DFT, PBE
State: optimized geometry

a b c (Å): 3.3347 3.3347 16.8093
angles (deg): 90.00 90.00 90.00
With the nearest neighbours (Å) after each atom.
Space group P4/mmm (No. 123)
Unique sites:
Zr (0.0000, 0.0000, 0.0000) x1  8 Zn 2.89
Zr (0.0000, 0.0000, 0.1992) x2  8 Zn 2.89
Zr (0.0000, 0.0000, 0.3987) x2  4 Zn 2.90, 4 Pd 2.91
Zn (0.5000, 0.5000, 0.0996) x2  8 Zr 2.89
Zn (0.5000, 0.5000, 0.2987) x2  8 Zr 2.89-2.90
Pd (0.5000, 0.5000, 0.5000) x1  8 Zr 2.91

Size of the total moment = 0.0 μB per formula unit
DFT total energy = -56.364 eV/cell

---

Material: Zr2ZnPd
Method: DFT, PBE
State: optimized geometry

a b c (Å): 4.3728 4.3728 14.7068
angles (deg): 90.00 90.00 120.00
With the nearest neighbours (Å) after each atom.
Space group R3m (No. 160, hexagonal axes)
Unique sites:
Zr (0.0000, 0.0000, 0.0000) x3  3 Zn 2.80, 1 Zr 2.90, 3 Pd 3.07
Zr (0.0000, 0.0000, 0.1973) x3  3 Pd 2.78, 1 Zr 2.90, 3 Zn 3.04
Zn (0.0000, 0.0000, 0.4156) x3  3 Pd 2.58, 3 Zr 2.80
Pd (0.0000, 0.0000, 0.7856) x3  3 Zn 2.58, 3 Zr 2.78

Size of the total moment = 0.0 μB per formula unit
DFT total energy = -73.160 eV/cell

---

Formation energy from the elements (eV per atom)
-0.1304, -0.5056, -0.5849, -0.2441, -0.3335, -0.2059
V (A^3/atom)
20.87, 16.81, 16.82, 18.08, 18.69, 20.29